The following is a DFT calculation (PBE) of a geometry-optimized Cs4AgAu2 structure.

Cell: 6.2131 7.6577 7.6577 Å, 108.85 90.00 90.00°
Last column: nearest neighbours and their distance in Å.
Sites, in units of the cell vectors:
Cs 0.0000 0.7445 0.7445  4 Au 3.78-3.88, 2 Ag 3.79
Cs 0.0000 0.2555 0.2555  4 Au 3.78-3.88, 2 Ag 3.79
Cs 0.5000 0.0000 0.5000  4 Au 3.82, 2 Ag 3.83
Cs 0.5000 0.5000 0.0000  4 Au 3.82, 2 Ag 3.83
Au 0.0000 0.7578 0.2422  8 Cs 3.78-3.88
Au 0.0000 0.2422 0.7578  8 Cs 3.78-3.88
Ag 0.5000 0.5000 0.5000  8 Cs 3.79-3.83

Properties
Space group: Cmmm
Formation energy from the elements in eV/atom: -0.165
E above lowest polymorph in meV/atom: 9

---

The following is a DFT calculation (PBE) of a geometry-optimized SrCa2Zn structure.

Cell: 6.8424 8.3821 10.3121 Å, 90.00 90.00 90.00°
Last column: nearest neighbours and their distance in Å.
Sites, in units of the cell vectors:
Sr 0.6268 0.5330 0.2500  2 Zn 3.28-3.36
Sr 0.8732 0.0330 0.2500  2 Zn 3.28-3.36
Sr 0.3732 0.4670 0.7500  2 Zn 3.28-3.36
Sr 0.1268 0.9670 0.7500  2 Zn 3.28-3.36
Ca 0.1475 0.6753 0.0611  2 Zn 3.15-3.21
Ca 0.3525 0.1753 0.4389  2 Zn 3.15-3.21
Ca 0.8525 0.3247 0.5611  2 Zn 3.15-3.21
Ca 0.6475 0.8247 0.9389  2 Zn 3.15-3.21
Ca 0.8525 0.3247 0.9389  2 Zn 3.15-3.21
Ca 0.6475 0.8247 0.5611  2 Zn 3.15-3.21
Ca 0.1475 0.6753 0.4389  2 Zn 3.15-3.21
Ca 0.3525 0.1753 0.0611  2 Zn 3.15-3.21
Zn 0.0829 0.3848 0.2500  4 Ca 3.15-3.21, 2 Sr 3.28-3.36
Zn 0.4171 0.8848 0.2500  4 Ca 3.15-3.21, 2 Sr 3.28-3.36
Zn 0.9171 0.6152 0.7500  4 Ca 3.15-3.21, 2 Sr 3.28-3.36
Zn 0.5829 0.1152 0.7500  4 Ca 3.15-3.21, 2 Sr 3.28-3.36

Properties
Space group: Pnma
Formation energy from the elements in eV/atom: -0.107

---

The following is a DFT calculation (PBE) of a geometry-optimized Na2GdTl structure.

Cell: 3.4483 3.4483 12.6328 Å, 82.16 82.16 60.00°
Last column: nearest neighbours and their distance in Å.
Sites, in units of the cell vectors:
Na 0.0918 0.0918 0.7247  1 Gd 3.43, 3 Tl 3.44, 6 Na 3.45
Na 0.9082 0.9082 0.2753  1 Gd 3.43, 3 Tl 3.44, 6 Na 3.45
Tl 0.5000 0.5000 0.5000  6 Na 3.44, 6 Tl 3.45
Gd 0.0000 0.0000 0.0000  2 Na 3.43, 6 Gd 3.45

Properties
Space group: R-3m
Formation energy from the elements in eV/atom: 0.152

---

The following is a DFT calculation (PBE) of a geometry-optimized K2MnTeN structure.

Cell: 6.7433 4.2353 6.7433 Å, 90.00 90.00 90.00°
Last column: nearest neighbours and their distance in Å.
Sites, in units of the cell vectors:
K 0.0000 0.0000 0.5000  2 Te 3.37
K 0.5000 0.0000 0.0000  2 Te 3.37
Te 0.0000 0.0000 0.0000  2 N 2.12
Mn 0.5000 0.5000 0.5000  8 K 3.98, 2 Mn 4.24
N 0.0000 0.5000 0.0000  2 Te 2.12

Properties
Space group: P4/mmm
Uncorrected formation energy in eV per formula unit: 4.33

---

The following is a DFT calculation (PBE) of a geometry-optimized YHf3Os structure.

Cell: 4.9283 4.9283 4.9283 Å, 90.00 90.00 90.00°
Last column: nearest neighbours and their distance in Å.
Sites, in units of the cell vectors:
Y 0.0000 0.0000 0.0000  6 Hf 2.46
Hf 0.0000 0.5000 0.0000  2 Y 2.46
Hf 0.0000 0.0000 0.5000  2 Y 2.46
Hf 0.5000 0.0000 0.0000  2 Y 2.46
Os 0.5000 0.5000 0.5000  12 Hf 3.48

Properties
Space group: Pm-3m
Formation energy from the elements in eV/atom: 2.121
E above lowest polymorph in meV/atom: 1918

---

The following is a DFT calculation (PBE) of a geometry-optimized MnCrCuTeAu structure.

Cell: 3.4660 4.2739 12.4969 Å, 90.00 89.99 90.00°
Last column: nearest neighbours and their distance in Å.
Sites, in units of the cell vectors:
Mn 0.3961 0.0000 0.3209  2 Au 2.72, 2 Te 2.79, 2 Cu 2.80, 2 Cr 2.93
Mn 0.3961 0.5000 0.8209  2 Au 2.72, 2 Te 2.79, 2 Cu 2.80, 2 Cr 2.93
Te 0.3961 0.0000 0.6773  2 Cr 2.72, 4 Cu 2.78, 2 Mn 2.79
Te 0.3961 0.5000 0.1773  2 Cr 2.72, 4 Cu 2.78, 2 Mn 2.79
Au 0.3962 0.0000 0.9556  2 Mn 2.72, 4 Cr 2.83, 2 Cu 2.93
Au 0.3962 0.5000 0.4556  2 Mn 2.72, 4 Cr 2.83, 2 Cu 2.93
Cu 0.8961 0.0000 0.1451  2 Cr 2.73, 4 Te 2.78, 2 Mn 2.80, 2 Au 2.93
Cu 0.8961 0.5000 0.6451  2 Cr 2.73, 4 Te 2.78, 2 Mn 2.80, 2 Au 2.93
Cr 0.8961 0.0000 0.5096  2 Te 2.72, 2 Cu 2.73, 4 Au 2.83, 2 Mn 2.93
Cr 0.8961 0.5000 0.0096  2 Te 2.72, 2 Cu 2.73, 4 Au 2.83, 2 Mn 2.93

Properties
Space group: Amm2
Uncorrected formation energy in eV per formula unit: 1.56
E above lowest polymorph in meV/atom: 185

---

The following is a DFT calculation (PBE) of a geometry-optimized KBa3Cl structure.

Cell: 6.4943 6.4943 6.4943 Å, 90.00 90.00 90.00°
Last column: nearest neighbours and their distance in Å.
Sites, in units of the cell vectors:
K 0.5000 0.5000 0.5000  12 Ba 4.59
Ba 0.0000 0.5000 0.0000  2 Cl 3.25
Ba 0.0000 0.0000 0.5000  2 Cl 3.25
Ba 0.5000 0.0000 0.0000  2 Cl 3.25
Cl 0.0000 0.0000 0.0000  6 Ba 3.25

Properties
Space group: Pm-3m
Uncorrected formation energy in eV per formula unit: -2.93
E above lowest polymorph in meV/atom: 0

---

The following is a DFT calculation (PBE) of a geometry-optimized CsNaMg2 structure.

Cell: 6.2028 6.2028 6.2028 Å, 60.00 60.00 60.00°
Last column: nearest neighbours and their distance in Å.
Sites, in units of the cell vectors:
Cs 0.5000 0.5000 0.5000  8 Mg 3.80
Na 0.0000 0.0000 0.0000  8 Mg 3.80
Mg 0.2500 0.2500 0.2500  4 Cs 3.80, 4 Na 3.80
Mg 0.7500 0.7500 0.7500  4 Na 3.80, 4 Cs 3.80

Properties
Space group: Fm-3m
Formation energy from the elements in eV/atom: 0.298
E above lowest polymorph in meV/atom: 0

---

The following is a DFT calculation (PBE) of a geometry-optimized YEr5Tm2Th structure.

Cell: 5.6401 11.0113 9.6259 Å, 90.00 90.00 104.84°
Last column: nearest neighbours and their distance in Å.
Sites, in units of the cell vectors:
Y 0.8090 0.6180 0.5179  2 Tm 3.23-3.41, 5 Er 3.41-3.47, 2 Th 3.61
Y 0.1910 0.3820 0.0179  2 Tm 3.23-3.41, 5 Er 3.41-3.47, 2 Th 3.61
Er 0.3978 0.7955 0.0407  2 Er 3.25-3.43, 4 Tm 3.31-3.49
Er 0.7292 0.4583 0.8250  1 Th 3.01, 1 Tm 3.32
Er 0.4688 0.9376 0.7413  2 Th 3.19-3.36, 5 Er 3.25-3.56, 2 Tm 3.44
Er 0.3052 0.6104 0.7186  4 Er 3.41-3.67, 3 Y 3.42-3.77, 3 Tm 3.46-3.73, 1 Th 3.57
Er 0.9858 0.9715 0.5191  3 Tm 3.30-3.68, 2 Th 3.43, 2 Er 3.56
Er 0.6022 0.2045 0.5407  2 Er 3.25-3.43, 4 Tm 3.31-3.49
Er 0.2708 0.5417 0.3250  1 Th 3.01, 1 Tm 3.32
Er 0.5312 0.0624 0.2413  2 Th 3.19-3.36, 5 Er 3.25-3.56, 2 Tm 3.44
Er 0.6948 0.3896 0.2186  4 Er 3.41-3.67, 3 Y 3.42-3.77, 3 Tm 3.46-3.73, 1 Th 3.57
Er 0.0142 0.0285 0.0191  3 Tm 3.30-3.68, 2 Th 3.43, 2 Er 3.56
Tm 0.8849 0.7699 0.8295  9 Er 3.30-3.68, 1 Y 3.41, 1 Tm 3.68
Tm 0.1302 0.2604 0.7103  1 Y 3.23, 3 Er 3.31-3.58, 2 Th 3.56
Tm 0.1151 0.2301 0.3295  9 Er 3.30-3.68, 1 Y 3.41, 1 Tm 3.68
Tm 0.8698 0.7396 0.2103  1 Y 3.23, 3 Er 3.31-3.58, 2 Th 3.56
Th 0.5945 0.1890 0.9215  3 Er 3.01-3.36
Th 0.4055 0.8110 0.4215  3 Er 3.01-3.36

Properties
Space group: Cmc2_1
Formation energy from the elements in eV/atom: 0.168

---

The following is a DFT calculation (PBE) of a geometry-optimized Cd7AgHg2 structure.

Cell: 3.0759 10.1006 10.1006 Å, 126.39 90.00 90.00°
Last column: nearest neighbours and their distance in Å.
Sites, in units of the cell vectors:
Cd 0.0000 0.8155 0.1845  2 Hg 2.99, 6 Cd 3.05-3.08, 1 Ag 3.33
Cd 0.0000 0.1845 0.8155  2 Hg 2.99, 6 Cd 3.05-3.08, 1 Ag 3.33
Cd 0.5000 0.1301 0.3089  1 Hg 2.97, 2 Ag 2.99, 6 Cd 3.02-3.22
Cd 0.5000 0.8699 0.6911  1 Hg 2.97, 2 Ag 2.99, 6 Cd 3.02-3.22
Cd 0.5000 0.3089 0.1301  1 Hg 2.97, 2 Ag 2.99, 6 Cd 3.02-3.22
Cd 0.5000 0.6911 0.8699  1 Hg 2.97, 2 Ag 2.99, 6 Cd 3.02-3.22
Cd 0.5000 0.5000 0.5000  6 Cd 3.02-3.08, 2 Hg 3.12
Ag 0.0000 0.0000 0.0000  10 Cd 2.99-3.33, 2 Ag 3.08
Hg 0.5000 0.6730 0.3270  5 Cd 2.97-3.12, 2 Hg 3.08
Hg 0.5000 0.3270 0.6730  5 Cd 2.97-3.12, 2 Hg 3.08

Properties
Space group: Cmmm
Formation energy from the elements in eV/atom: 0.051
E above lowest polymorph in meV/atom: 32

---

The following is a DFT calculation (PBE) of a geometry-optimized NaTlV2Cl8 structure.

Cell: 6.6128 6.6128 10.1386 Å, 70.97 70.97 60.00°
Last column: nearest neighbours and their distance in Å.
Sites, in units of the cell vectors:
Na 0.0000 0.0000 0.0000  6 Cl 2.89
Tl 0.5000 0.5000 0.5000  12 Cl 3.67-3.82
V 0.2495 0.2495 0.2514  4 Cl 2.22-2.24
V 0.7505 0.7505 0.7486  4 Cl 2.22-2.24
Cl 0.1706 0.1706 0.4881  1 V 2.22
Cl 0.5870 0.2909 0.1829  1 V 2.24
Cl 0.8294 0.8294 0.5119  1 V 2.22
Cl 0.9393 0.5870 0.1829  1 V 2.24
Cl 0.0607 0.4130 0.8171  1 V 2.24
Cl 0.2909 0.9393 0.1829  1 V 2.24
Cl 0.7091 0.0607 0.8171  1 V 2.24
Cl 0.4130 0.7091 0.8171  1 V 2.24

Properties
Space group: R-3
Uncorrected formation energy in eV per formula unit: -14.81

---

What did the fifth record say?
The following is a DFT calculation (PBE) of a geometry-optimized YHf3Os structure.

Cell: 4.9283 4.9283 4.9283 Å, 90.00 90.00 90.00°
Last column: nearest neighbours and their distance in Å.
Sites, in units of the cell vectors:
Y 0.0000 0.0000 0.0000  6 Hf 2.46
Hf 0.0000 0.5000 0.0000  2 Y 2.46
Hf 0.0000 0.0000 0.5000  2 Y 2.46
Hf 0.5000 0.0000 0.0000  2 Y 2.46
Os 0.5000 0.5000 0.5000  12 Hf 3.48

Properties
Space group: Pm-3m
Formation energy from the elements in eV/atom: 2.121
E above lowest polymorph in meV/atom: 1918